Model w:
# ErRePd (PBE, optimized geometry)
data_ErRePd
_cell_length_a 4.544
_cell_length_b 4.544
_cell_length_c 4.544
_cell_angle_alpha 60.00
_cell_angle_beta 60.00
_cell_angle_gamma 60.00
_symmetry_space_group_name_H-M 'P 1'
_symmetry_Int_Tables_number 1
_symmetry_space_group_name_Hall 'P 1'
loop_
_atom_site_label
_atom_site_fract_x
_atom_site_fract_y
_atom_site_fract_z
_atom_site_occupancy
Er1 0.000 0.000 0.000 1
Re1 0.250 0.250 0.250 1
Pd1 0.750 0.750 0.750 1
# volume = 22.118 Å³ per atom
# ρ = 11.5 g/cm3



Model x:
# ErRePd (PBE, optimized geometry)
data_ErRePd
_cell_length_a 4.502
_cell_length_b 4.502
_cell_length_c 4.502
_cell_angle_alpha 60.00
_cell_angle_beta 60.00
_cell_angle_gamma 60.00
_symmetry_space_group_name_H-M 'P 1'
_symmetry_Int_Tables_number 1
_symmetry_space_group_name_Hall 'P 1'
loop_
_atom_site_label
_atom_site_fract_x
_atom_site_fract_y
_atom_site_fract_z
_atom_site_occupancy
Er1 0.000 0.000 0.000 1
Re1 0.500 0.500 0.500 1
Pd1 0.250 0.250 0.250 1
# volume = 21.500 Å³ per atom
# ρ = 11.8 g/cm3



Which structure is the most stable? The one labeled model x.



Model w:
# Er3Sc3Te2Pd (PBE, optimized geometry)
data_Er3Sc3Te2Pd
_cell_length_a 8.010
_cell_length_b 8.010
_cell_length_c 3.919
_cell_angle_alpha 90.00
_cell_angle_beta 90.00
_cell_angle_gamma 120.00
_symmetry_space_group_name_H-M 'P 1'
_symmetry_Int_Tables_number 1
_symmetry_space_group_name_Hall 'P 1'
loop_
_atom_site_label
_atom_site_fract_x
_atom_site_fract_y
_atom_site_fract_z
_atom_site_occupancy
Er1 0.000 0.605 0.000 1
Er2 0.395 0.395 0.000 1
Er3 0.605 0.000 0.000 1
Sc1 0.000 0.242 0.500 1
Sc2 0.242 0.000 0.500 1
Sc3 0.758 0.758 0.500 1
Te1 0.333 0.667 0.500 1
Te2 0.667 0.333 0.500 1
Pd1 0.000 0.000 0.000 1
# volume = 24.191 Å³ per atom
# ρ = 7.6 g/cm3



Model x:
# Er3Sc3Te2Pd (PBE, optimized geometry)
data_Er3Sc3Te2Pd
_cell_length_a 8.196
_cell_length_b 8.196
_cell_length_c 3.792
_cell_angle_alpha 90.00
_cell_angle_beta 90.00
_cell_angle_gamma 120.00
_symmetry_space_group_name_H-M 'P 1'
_symmetry_Int_Tables_number 1
_symmetry_space_group_name_Hall 'P 1'
loop_
_atom_site_label
_atom_site_fract_x
_atom_site_fract_y
_atom_site_fract_z
_atom_site_occupancy
Er1 0.000 0.252 0.000 1
Er2 0.252 0.000 0.000 1
Er3 0.748 0.748 0.000 1
Sc1 0.000 0.599 0.500 1
Sc2 0.401 0.401 0.500 1
Sc3 0.599 0.000 0.500 1
Te1 0.333 0.667 0.000 1
Te2 0.667 0.333 0.000 1
Pd1 0.000 0.000 0.500 1
# volume = 24.509 Å³ per atom
# ρ = 7.5 g/cm3



Which structure is the most stable? The one labeled model w.



Model w:
# ErTcPd (PBE, optimized geometry)
data_ErTcPd
_cell_length_a 4.521
_cell_length_b 4.521
_cell_length_c 4.521
_cell_angle_alpha 60.00
_cell_angle_beta 60.00
_cell_angle_gamma 60.00
_symmetry_space_group_name_H-M 'P 1'
_symmetry_Int_Tables_number 1
_symmetry_space_group_name_Hall 'P 1'
loop_
_atom_site_label
_atom_site_fract_x
_atom_site_fract_y
_atom_site_fract_z
_atom_site_occupancy
Er1 0.000 0.000 0.000 1
Tc1 0.250 0.250 0.250 1
Pd1 0.750 0.750 0.750 1
# volume = 21.779 Å³ per atom
# ρ = 9.4 g/cm3



Model x:
# ErTcPd (PBE, optimized geometry)
data_ErTcPd
_cell_length_a 4.523
_cell_length_b 4.523
_cell_length_c 4.523
_cell_angle_alpha 60.00
_cell_angle_beta 60.00
_cell_angle_gamma 60.00
_symmetry_space_group_name_H-M 'P 1'
_symmetry_Int_Tables_number 1
_symmetry_space_group_name_Hall 'P 1'
loop_
_atom_site_label
_atom_site_fract_x
_atom_site_fract_y
_atom_site_fract_z
_atom_site_occupancy
Er1 0.000 0.000 0.000 1
Tc1 0.500 0.500 0.500 1
Pd1 0.250 0.250 0.250 1
# volume = 21.816 Å³ per atom
# ρ = 9.4 g/cm3



Which structure is the most stable? The one labeled model x.



Model w:
# ErTlTe3Pd (PBE, optimized geometry)
data_ErTlTe3Pd
_cell_length_a 8.656
_cell_length_b 8.656
_cell_length_c 10.399
_cell_angle_alpha 90.00
_cell_angle_beta 90.00
_cell_angle_gamma 151.68
_symmetry_space_group_name_H-M 'P 1'
_symmetry_Int_Tables_number 1
_symmetry_space_group_name_Hall 'P 1'
loop_
_atom_site_label
_atom_site_fract_x
_atom_site_fract_y
_atom_site_fract_z
_atom_site_occupancy
Er1 0.000 0.000 0.000 1
Er2 0.000 0.000 0.500 1
Tl1 0.241 0.759 0.750 1
Tl2 0.759 0.241 0.250 1
Te1 0.093 0.907 0.250 1
Te2 0.375 0.625 0.073 1
Te3 0.375 0.625 0.427 1
Te4 0.625 0.375 0.573 1
Te5 0.625 0.375 0.927 1
Te6 0.907 0.093 0.750 1
Pd1 0.490 0.510 0.250 1
Pd2 0.510 0.490 0.750 1
# volume = 30.797 Å³ per atom
# ρ = 7.7 g/cm3



Model x:
# ErTlTe3Pd (PBE, optimized geometry)
data_ErTlTe3Pd
_cell_length_a 8.932
_cell_length_b 4.183
_cell_length_c 10.906
_cell_angle_alpha 90.00
_cell_angle_beta 112.44
_cell_angle_gamma 90.00
_symmetry_space_group_name_H-M 'P 1'
_symmetry_Int_Tables_number 1
_symmetry_space_group_name_Hall 'P 1'
loop_
_atom_site_label
_atom_site_fract_x
_atom_site_fract_y
_atom_site_fract_z
_atom_site_occupancy
Er1 0.194 0.250 0.152 1
Er2 0.806 0.750 0.848 1
Tl1 0.237 0.750 0.704 1
Tl2 0.763 0.250 0.296 1
Te1 0.060 0.250 0.854 1
Te2 0.275 0.250 0.460 1
Te3 0.444 0.750 0.153 1
Te4 0.556 0.250 0.847 1
Te5 0.725 0.750 0.540 1
Te6 0.940 0.750 0.146 1
Pd1 0.407 0.750 0.387 1
Pd2 0.593 0.250 0.613 1
# volume = 31.382 Å³ per atom
# ρ = 7.6 g/cm3



Which structure is the most stable? The one labeled model w.



Model w:
# ErPdW (PBE, optimized geometry)
data_ErPdW
_cell_length_a 4.592
_cell_length_b 4.592
_cell_length_c 4.592
_cell_angle_alpha 60.00
_cell_angle_beta 60.00
_cell_angle_gamma 60.00
_symmetry_space_group_name_H-M 'P 1'
_symmetry_Int_Tables_number 1
_symmetry_space_group_name_Hall 'P 1'
loop_
_atom_site_label
_atom_site_fract_x
_atom_site_fract_y
_atom_site_fract_z
_atom_site_occupancy
Er1 0.000 0.000 0.000 1
Pd1 0.750 0.750 0.750 1
W1 0.250 0.250 0.250 1
# volume = 22.816 Å³ per atom
# ρ = 11.1 g/cm3



Model x:
# ErPdW (PBE, optimized geometry)
data_ErPdW
_cell_length_a 4.516
_cell_length_b 4.516
_cell_length_c 4.516
_cell_angle_alpha 60.00
_cell_angle_beta 60.00
_cell_angle_gamma 60.00
_symmetry_space_group_name_H-M 'P 1'
_symmetry_Int_Tables_number 1
_symmetry_space_group_name_Hall 'P 1'
loop_
_atom_site_label
_atom_site_fract_x
_atom_site_fract_y
_atom_site_fract_z
_atom_site_occupancy
Er1 0.000 0.000 0.000 1
Pd1 0.250 0.250 0.250 1
W1 0.500 0.500 0.500 1
# volume = 21.714 Å³ per atom
# ρ = 11.7 g/cm3



Which structure is the most stable? The one labeled model x.



Model w:
# Pm2Er (PBE, optimized geometry)
data_Pm2Er
_cell_length_a 9.032
_cell_length_b 9.032
_cell_length_c 9.032
_cell_angle_alpha 60.00
_cell_angle_beta 60.00
_cell_angle_gamma 60.00
_symmetry_space_group_name_H-M 'P 1'
_symmetry_Int_Tables_number 1
_symmetry_space_group_name_Hall 'P 1'
loop_
_atom_site_label
_atom_site_fract_x
_atom_site_fract_y
_atom_site_fract_z
_atom_site_occupancy
Pm1 0.000 0.000 0.000 1
Pm2 0.000 0.000 0.500 1
Pm3 0.000 0.500 0.000 1
Pm4 0.500 0.000 0.000 1
Er1 0.125 0.125 0.125 1
Er2 0.875 0.875 0.875 1
# volume = 86.833 Å³ per atom
# ρ = 2.9 g/cm3



Model x:
# Pm2Er (PBE, optimized geometry)
data_Pm2Er
_cell_length_a 6.605
_cell_length_b 6.605
_cell_length_c 6.605
_cell_angle_alpha 60.00
_cell_angle_beta 60.00
_cell_angle_gamma 60.00
_symmetry_space_group_name_H-M 'P 1'
_symmetry_Int_Tables_number 1
_symmetry_space_group_name_Hall 'P 1'
loop_
_atom_site_label
_atom_site_fract_x
_atom_site_fract_y
_atom_site_fract_z
_atom_site_occupancy
Pm1 0.000 0.000 0.000 1
Pm2 0.000 0.000 0.500 1
Pm3 0.000 0.500 0.000 1
Pm4 0.500 0.000 0.000 1
Er1 0.375 0.375 0.375 1
Er2 0.625 0.625 0.625 1
# volume = 33.958 Å³ per atom
# ρ = 7.5 g/cm3



Which structure is the most stable? The one labeled model x.